Entry 1:
Density functional theory data (PBE) for a relaxed structure of PrScBi.

Computed properties:
DOS(E_F)	10.5	states/eV per cell
ρ	7.14	g cm⁻³
total moment	0.19	μB per atom
energy of formation	-0.328	eV/atom
SG	Immm, No. 71

Lattice parameters (Å, degrees): 3.493 5.954 17.651 90.00 90.00 90.00
Fractional coordinates of all 12 atoms:
Pr  0.000  0.000  0.164
Pr  0.000  0.000  0.836
Pr  0.500  0.500  0.336
Pr  0.500  0.500  0.664
Sc  0.000  0.260  0.500
Sc  0.000  0.740  0.500
Sc  0.500  0.240  0.000
Sc  0.500  0.760  0.000
Bi  0.000  0.000  0.350
Bi  0.000  0.000  0.650
Bi  0.500  0.500  0.150
Bi  0.500  0.500  0.850

***

Entry 2:
Density functional theory data (PBE) for a relaxed structure of Pr2ScBi3.

Computed properties:
DOS(E_F)	2.5	states/eV per cell
ρ	8.04	g cm⁻³
total moment	0.00	μB per atom
polymorph energy (0 for the lowest one)	0.9	kJ per mole of atoms
energy of formation	-0.824	eV/atom
SG	Immm, No. 71

Lattice parameters (Å, degrees): 4.521 6.449 13.511 90.00 90.00 90.00
Fractional coordinates of all 12 atoms:
Pr  0.000  0.000  0.171
Pr  0.000  0.000  0.829
Pr  0.500  0.500  0.329
Pr  0.500  0.500  0.671
Sc  0.000  0.000  0.500
Sc  0.500  0.500  0.000
Bi  0.000  0.500  0.153
Bi  0.000  0.500  0.500
Bi  0.000  0.500  0.847
Bi  0.500  0.000  0.000
Bi  0.500  0.000  0.347
Bi  0.500  0.000  0.653

***

Entry 3:
Density functional theory data (PBE) for a relaxed structure of PrScBi.

Computed properties:
DOS(E_F)	5.1	states/eV per cell
ρ	7.45	g cm⁻³
total moment	0.07	μB per atom
energy of formation	-0.668	eV/atom
SG	P4/nmm, No. 129

Lattice parameters (Å, degrees): 4.530 4.530 8.581 90.00 90.00 90.00
Fractional coordinates of all 6 atoms:
Pr  0.250  0.250  0.152
Pr  0.750  0.750  0.848
Sc  0.250  0.750  0.500
Sc  0.750  0.250  0.500
Bi  0.250  0.250  0.756
Bi  0.750  0.750  0.244

***

Entry 4:
Density functional theory data (PBE) for a relaxed structure of Pr2ScBi4.

Computed properties:
DOS(E_F)	3.2	states/eV per cell
ρ	8.26	g cm⁻³
total moment	0.01	μB per atom
energy of formation	-0.619	eV/atom
SG	P-4m2, No. 115

Lattice parameters (Å, degrees): 4.517 4.517 11.456 90.00 90.00 90.00
Fractional coordinates of all 7 atoms:
Pr  0.000  0.500  0.223
Pr  0.500  0.000  0.777
Sc  0.000  0.000  0.500
Bi  0.000  0.000  0.000
Bi  0.000  0.500  0.665
Bi  0.500  0.000  0.335
Bi  0.500  0.500  0.000